A plane-wave DFT calculation with PBE-GGA was carried out for a geometry-optimized LaNiAs2Se structure.

The calculation puts the polymorph energy (0 for the lowest one) at 7.558 eV per formula unit. The value obtained for the theoretical density is 3854 kg/m³.

Cell lengths 5.703, 5.703, 5.649 Å; angles 90.00, 90.00, 90.00 degrees
Atoms (fractional coordinates):
La 0.000 0.000 0.000
Ni 0.500 0.500 0.500
As 0.000 0.500 0.000
As 0.500 0.000 0.000
Se 0.000 0.000 0.500

***

A plane-wave DFT calculation with PBE-GGA was carried out for a geometry-optimized LaNiAs2Se structure.

The calculation puts the polymorph energy (0 for the lowest one) at 0.000 eV per formula unit. The value obtained for the theoretical density is 6581 kg/m³.

Cell lengths 4.613, 4.613, 5.057 Å; angles 90.00, 90.00, 90.00 degrees
Atoms (fractional coordinates):
La 0.000 0.000 0.000
Ni 0.500 0.500 0.500
As 0.000 0.500 0.500
As 0.500 0.000 0.500
Se 0.500 0.500 0.000

***

Computed values of electronic total energy (unit: eV per atom) for the preceding records, in sequence: -3.78 -5.30.
Computed values of ΔE_f (raw) (unit: meV per atom) for the preceding records, in sequence: 913 -598.
Computed values of Fermi-level density of states (unit: states/eV per cell) for the preceding records, in sequence: 13.24 4.04.